1.
Compound: K2RbSbF8
Source: the Alexandria database
Functional: PBE-GGA
Structure: relaxed

Values from the calculation:
Raw total energy   -4.424 eV/atom
Space-group type   P2/m, No. 10

Cell lengths 4.702, 6.131, 8.567 Å; angles 89.99, 89.99, 99.98 degrees
Fractional positions:
F 0.890 0.187 0.162
F 0.110 0.813 0.162
F 0.632 0.807 0.000
Sb 0.000 0.000 0.000
F 0.890 0.187 0.838
K 0.500 0.500 0.726
Rb 0.000 0.000 0.500
F 0.110 0.813 0.838
F 0.568 0.263 0.500
F 0.432 0.737 0.500
F 0.368 0.193 0.000
K 0.500 0.500 0.274

2.
Compound: CsTl2Zn
Source: the Alexandria database
Functional: PBE-GGA
Structure: relaxed

Values from the calculation:
Density of states at the Fermi level   0.699 states/eV per atom
Energy relative to the elements   0.0370 eV per atom
Space-group type   P4/mmm, No. 123

Cell lengths 3.761, 3.761, 9.151 Å; angles 90.00, 90.00, 90.00 degrees
Fractional positions:
Tl 0.000 0.000 0.180
Tl 0.000 0.000 0.820
Cs 0.500 0.500 0.500
Zn 0.500 0.500 0.000

3.
Compound: RbCdP2Cl
Source: the Alexandria database
Functional: PBE-GGA
Structure: relaxed

Values from the calculation:
Raw total energy   -2.808 eV/atom
Density of states at the Fermi level   0.455 states/eV per atom
Space-group type   P4/mmm, No. 123

Cell lengths 5.026, 5.026, 6.123 Å; angles 90.00, 90.00, 90.00 degrees
Each line ends with the local moment (μB).
Fractional positions:
Rb 0.500 0.500 0.500  0.01
P 0.500 0.000 0.000  0.33
P 0.000 0.500 0.000  0.33
Cd 0.000 0.000 0.000  0.01
Cl 0.000 0.000 0.500  0.09

4.
Compound: Cu4TeS3
Source: the Alexandria database
Functional: PBE-GGA
Structure: relaxed

Values from the calculation:
Raw total energy   -4.121 eV/atom
Density of states at the Fermi level   0.816 states/eV per atom
Space-group type   Pmn2_1, No. 31

Cell lengths 6.447, 6.404, 7.498 Å; angles 90.00, 90.00, 90.00 degrees
Fractional positions:
Te 0.995 0.160 0.000
Cu 0.101 0.837 0.500
Te 0.495 0.840 0.500
S 0.992 0.174 0.500
Cu 0.601 0.163 0.000
S 0.994 0.669 0.750
Cu 0.146 0.791 0.000
S 0.492 0.826 0.000
S 0.494 0.331 0.250
Cu 0.646 0.649 0.775
Cu 0.646 0.209 0.500
Cu 0.646 0.649 0.225
S 0.494 0.331 0.750
Cu 0.146 0.351 0.275
Cu 0.146 0.351 0.725
S 0.994 0.669 0.250

5.
Compound: ZnTc2Cl
Source: the Alexandria database
Functional: PBE-GGA
Structure: relaxed

Values from the calculation:
Raw total energy   -5.230 eV/atom
Density of states at the Fermi level   0.825 states/eV per atom
Space-group type   I-4m2, No. 119

Cell lengths 4.643, 4.643, 4.643 Å; angles 127.80, 127.80, 76.94 degrees
Fractional positions:
Tc 0.000 0.000 0.000
Zn 0.500 0.500 0.000
Tc 0.250 0.750 0.500
Cl 0.750 0.250 0.500

6.
Compound: CaLaPmPb
Source: the Alexandria database
Functional: PBE-GGA
Structure: relaxed

Values from the calculation:
Density of states at the Fermi level   1.301 states/eV per atom
Energy relative to the elements   -0.2022 eV per atom
Space-group type   F-43m, No. 216

Cell lengths 5.693, 5.693, 5.693 Å; angles 60.00, 60.00, 60.00 degrees
Fractional positions:
Pb 0.250 0.250 0.250
La 0.000 0.000 0.000
Ca 0.750 0.750 0.750
Pm 0.500 0.500 0.500